# 1
First-principles (PBE) data for an optimized crystal structure of TmCuI6, as listed in Alexandria.

Cell: 6.238 7.726 8.490 Å, 69.46 73.18 85.03°
Element x y z (fractional)
Tm 0.000 0.000 0.000
Cu 0.500 0.500 0.000
I 0.032 0.817 0.354
I 0.274 0.360 0.852
I 0.408 0.824 0.817
I 0.592 0.176 0.183
I 0.726 0.640 0.148
I 0.968 0.183 0.646

## Properties
- Raw formation energy: -0.60 eV/atom
- VASP energy: -0.104 hartree per atom

***

# 2
First-principles (PBE) data for an optimized crystal structure of UCu2I6, as listed in Alexandria.

Cell: 10.741 10.741 8.040 Å, 111.88 111.88 83.08°
Element x y z (fractional)
U 0.249 0.751 0.750
U 0.751 0.249 0.250
Cu 0.053 0.379 0.376
Cu 0.379 0.053 0.876
Cu 0.621 0.947 0.124
Cu 0.947 0.621 0.624
I 0.025 0.224 0.533
I 0.130 0.622 0.934
I 0.224 0.025 0.033
I 0.284 0.475 0.468
I 0.378 0.870 0.566
I 0.475 0.284 0.968
I 0.525 0.716 0.032
I 0.622 0.130 0.434
I 0.716 0.525 0.532
I 0.776 0.975 0.967
I 0.870 0.378 0.066
I 0.975 0.776 0.467

## Properties
- Raw formation energy: -0.54 eV/atom
- VASP energy: -0.138 hartree per atom
- Relative energy among the computed polymorphs: 0.0000 eV per atom

***

# 3
First-principles (PBE) data for an optimized crystal structure of UCuI5, as listed in Alexandria.

Cell: 8.019 8.019 11.377 Å, 110.26 110.26 86.47°
Element x y z (fractional)
U 0.000 0.500 0.000
U 0.500 0.000 0.500
Cu 0.132 0.868 0.750
Cu 0.868 0.132 0.250
I 0.155 0.176 0.458
I 0.170 0.593 0.832
I 0.176 0.155 0.958
I 0.333 0.667 0.250
I 0.407 0.830 0.668
I 0.593 0.170 0.332
I 0.667 0.333 0.750
I 0.824 0.845 0.042
I 0.830 0.407 0.168
I 0.845 0.824 0.542

## Properties
- Raw formation energy: -0.59 eV/atom
- VASP energy: -0.143 hartree per atom

***

# 4
First-principles (PBE) data for an optimized crystal structure of UCu2I6, as listed in Alexandria.

Cell: 10.224 10.224 7.627 Å, 95.32 95.32 77.86°
Element x y z (fractional)
U 0.099 0.901 0.750
U 0.901 0.099 0.250
Cu 0.317 0.453 0.697
Cu 0.453 0.317 0.197
Cu 0.547 0.683 0.803
Cu 0.683 0.547 0.303
I 0.039 0.184 0.605
I 0.137 0.625 0.865
I 0.184 0.039 0.105
I 0.278 0.469 0.369
I 0.375 0.863 0.635
I 0.469 0.278 0.869
I 0.531 0.722 0.131
I 0.625 0.137 0.365
I 0.722 0.531 0.631
I 0.816 0.961 0.895
I 0.863 0.375 0.135
I 0.961 0.816 0.395

## Properties
- Raw formation energy: -0.46 eV/atom
- VASP energy: -0.134 hartree per atom
- Relative energy among the computed polymorphs: 0.0852 eV per atom